Entry 1:
Here is a crystal of Te2PbAu relaxed with PBEsol from Alexandria. Energies are from SCAN.

formation energy (no corrections): -34 meV per atom

Unit cell a=3.9458 b=3.9815 c=14.3616 alpha=90.00 beta=90.00 gamma=90.00
With the nearest neighbours (Å) after each atom.
Space group Imm2 (No. 44)
Unique sites:
Te: 0.0000 0.0000 0.0000  4 Pb 3.16, 2 Au 3.54
Te: 0.0000 0.5000 0.2885  4 Au 2.81
Pb: 0.0000 0.0000 0.6021  6 Te 3.16-3.33, 2 Au 3.43
Au: 0.0000 0.5000 0.7965  4 Te 2.81

---

Entry 2:
Here is a crystal of TePb2Au relaxed with PBEsol from Alexandria. Energies are from SCAN.

formation energy (no corrections): -112 meV per atom

Unit cell a=4.3542 b=4.3542 c=6.1290 alpha=90.00 beta=90.00 gamma=90.00
With the nearest neighbours (Å) after each atom.
Space group P4/mmm (No. 123)
Unique sites:
Te: 0.0000 0.0000 0.0000  6 Pb 3.06-3.08
Pb: 0.0000 0.0000 0.5000  2 Te 3.06, 4 Au 3.08
Pb: 0.5000 0.5000 0.0000  2 Au 3.06, 4 Te 3.08
Au: 0.5000 0.5000 0.5000  6 Pb 3.06-3.08

---

Entry 3:
Here is a crystal of TePb2Au relaxed with PBEsol from Alexandria. Energies are from SCAN.

formation energy (no corrections): 19 meV per atom

Unit cell a=5.1859 b=5.1859 c=3.9284 alpha=90.00 beta=90.00 gamma=90.00
With the nearest neighbours (Å) after each atom.
Space group P4/mmm (No. 123)
Unique sites:
Te: 0.0000 0.0000 0.0000  8 Pb 3.25
Pb: 0.0000 0.5000 0.5000  4 Te 3.25, 4 Au 3.25
Au: 0.5000 0.5000 0.0000  8 Pb 3.25

---

Entry 4:
Here is a crystal of Te2PbAu relaxed with PBEsol from Alexandria. Energies are from SCAN.

formation energy (no corrections): -93 meV per atom

Unit cell a=4.2299 b=4.2088 c=6.8300 alpha=90.00 beta=107.53 gamma=90.00
With the nearest neighbours (Å) after each atom.
Space group Pm (No. 6)
Unique sites:
Te: 0.0000 0.0000 0.0000  2 Au 2.66
Te: 0.3313 0.5000 0.6592  1 Au 2.67
Pb: 0.7206 0.0000 0.4403  4 Au 3.23, 6 Te 3.30-3.58
Au: 0.1285 0.5000 0.2494  3 Te 2.66-2.67

---

Entry 5:
Here is a crystal of Te2PbAu relaxed with PBEsol from Alexandria. Energies are from SCAN.

formation energy (no corrections): 52 meV per atom

Unit cell a=3.8861 b=3.8861 c=28.4307 alpha=90.00 beta=90.00 gamma=120.00
With the nearest neighbours (Å) after each atom.
Space group R-3m (No. 166, hexagonal axes)
Unique sites:
Te: 0.0000 0.0000 0.1104  3 Au 2.76
Pb: 0.0000 0.0000 0.0000  2 Te 3.14
Au: 0.0000 0.0000 0.5000  6 Te 2.76

---

Entry 6:
Here is a crystal of TePb2Au relaxed with PBEsol from Alexandria. Energies are from SCAN.

formation energy (no corrections): 170 meV per atom

Unit cell a=7.4532 b=7.4532 c=7.4532 alpha=90.00 beta=90.00 gamma=90.00
With the nearest neighbours (Å) after each atom.
Space group F-43m (No. 216)
Unique sites:
Te: 0.0000 0.0000 0.0000  4 Pb 3.23, 4 Au 3.23
Pb: 0.0000 0.0000 0.5000  4 Au 3.23, 4 Pb 3.23
Pb: 0.2500 0.2500 0.2500  4 Pb 3.23, 4 Te 3.23
Au: 0.2500 0.2500 0.7500  4 Pb 3.23, 4 Te 3.23

---

Entry 7:
Here is a crystal of TePb2Au relaxed with PBEsol from Alexandria. Energies are from SCAN.

formation energy (no corrections): -169 meV per atom

Unit cell a=4.2767 b=4.2767 c=21.5382 alpha=90.00 beta=90.00 gamma=120.00
With the nearest neighbours (Å) after each atom.
Space group R-3m (No. 166, hexagonal axes)
Unique sites:
Te: 0.0000 0.0000 0.0000  6 Pb 3.18
Pb: 0.0000 0.0000 0.2401  3 Au 2.93, 3 Te 3.18
Au: 0.0000 0.0000 0.5000  6 Pb 2.93

---

Entry 8:
Here is a crystal of Te2PbAu2 relaxed with PBEsol from Alexandria. Energies are from SCAN.

formation energy (no corrections): -12 meV per atom

Unit cell a=4.0178 b=4.0178 c=15.5062 alpha=90.00 beta=90.00 gamma=90.00
With the nearest neighbours (Å) after each atom.
Space group I4/mmm (No. 139)
Unique sites:
Te: 0.0000 0.0000 0.1148  4 Au 2.90
Pb: 0.0000 0.0000 0.5000  8 Te 3.35
Au: 0.0000 0.5000 0.2500  4 Au 2.84, 4 Te 2.90

---

Entry 9:
Here is a crystal of Te2PbAu relaxed with PBEsol from Alexandria. Energies are from SCAN.

formation energy (no corrections): -105 meV per atom

Unit cell a=4.0081 b=5.7713 c=9.5882 alpha=90.00 beta=90.00 gamma=90.00
With the nearest neighbours (Å) after each atom.
Space group Immm (No. 71)
Unique sites:
Te: 0.0000 0.0000 0.1876  2 Au 2.69
Pb: 0.0000 0.5000 0.0000  8 Te 3.40-3.60, 4 Au 3.51
Au: 0.0000 0.5000 0.5000  4 Te 2.69

---

Entry 10:
Here is a crystal of Te2PbAu relaxed with PBEsol from Alexandria. Energies are from SCAN.

formation energy (no corrections): -69 meV per atom

Unit cell a=4.2933 b=4.2933 c=6.0103 alpha=90.00 beta=90.00 gamma=90.00
With the nearest neighbours (Å) after each atom.
Space group P4/mmm (No. 123)
Unique sites:
Te: 0.0000 0.0000 0.0000  2 Pb 3.01, 4 Au 3.04
Te: 0.5000 0.5000 0.5000  2 Au 3.01, 4 Pb 3.04
Pb: 0.0000 0.0000 0.5000  6 Te 3.01-3.04
Au: 0.5000 0.5000 0.0000  6 Te 3.01-3.04

---

Entry 11:
Here is a crystal of Te2PbAu relaxed with PBEsol from Alexandria. Energies are from SCAN.

formation energy (no corrections): -87 meV per atom

Unit cell a=6.6007 b=6.6007 c=13.1769 alpha=90.00 beta=90.00 gamma=90.00
With the nearest neighbours (Å) after each atom.
Space group I-42d (No. 122)
Unique sites:
Te: 0.2044 0.2500 0.1250  2 Au 2.69
Pb: 0.0000 0.0000 0.5000  4 Te 3.04
Au: 0.0000 0.0000 0.0000  4 Te 2.69

---

Entry 12:
Here is a crystal of Ti3PbAu relaxed with PBEsol from Alexandria. Energies are from SCAN.

E_form: 1.1200 eV per atom

Unit cell a=5.0109 b=5.0109 c=5.0109 alpha=90.00 beta=90.00 gamma=90.00
With the nearest neighbours (Å) after each atom.
Space group Pm-3m (No. 221)
Unique sites:
Ti: 0.0000 0.0000 0.5000  2 Pb 2.51
Pb: 0.0000 0.0000 0.0000  6 Ti 2.51
Au: 0.5000 0.5000 0.5000  12 Ti 3.54

---

Entry 13:
Here is a crystal of TiPbWAu2 relaxed with PBEsol from Alexandria. Energies are from SCAN.

E_form: 1.7857 eV per atom

Unit cell a=4.9834 b=4.9834 c=5.1719 alpha=90.00 beta=90.00 gamma=90.00
With the nearest neighbours (Å) after each atom.
Space group P4/mmm (No. 123)
Unique sites:
Ti: 0.0000 0.0000 0.0000  4 W 3.52, 8 Au 3.59
Pb: 0.5000 0.5000 0.5000  4 Au 2.49, 2 W 2.59
W: 0.5000 0.5000 0.0000  2 Pb 2.59
Au: 0.0000 0.5000 0.5000  2 Pb 2.49

---

Entry 14:
Here is a crystal of TlPb2Au relaxed with PBEsol from Alexandria. Energies are from SCAN.

E_form: -0.0008 eV per atom

Unit cell a=8.4913 b=8.4913 c=6.1185 alpha=90.00 beta=90.00 gamma=90.00
With the nearest neighbours (Å) after each atom.
Space group I-42d (No. 122)
Unique sites:
Tl: 0.0000 0.0000 0.0000  2 Au 3.06, 4 Pb 3.39
Pb: 0.2027 0.2500 0.6250  2 Au 2.84, 2 Pb 3.16
Au: 0.0000 0.0000 0.5000  4 Pb 2.84, 2 Tl 3.06

---

Entry 15:
Here is a crystal of TlPb2Au relaxed with PBEsol from Alexandria. Energies are from SCAN.

E_form: -0.0168 eV per atom

Unit cell a=3.6321 b=3.6321 c=28.0398 alpha=90.00 beta=90.00 gamma=120.00
With the nearest neighbours (Å) after each atom.
Space group R-3m (No. 166, hexagonal axes)
Unique sites:
Tl: 0.0000 0.0000 0.0000  6 Pb 3.38, 6 Tl 3.63
Pb: 0.0000 0.0000 0.2389  3 Au 2.92
Au: 0.0000 0.0000 0.5000  6 Pb 2.92

---

Entry 16:
Here is a crystal of TlPbAu4 relaxed with PBEsol from Alexandria. Energies are from SCAN.

E_form: 0.0075 eV per atom

Unit cell a=7.8984 b=7.8984 c=7.8984 alpha=90.00 beta=90.00 gamma=90.00
With the nearest neighbours (Å) after each atom.
Space group F-43m (No. 216)
Unique sites:
Tl: 0.0000 0.0000 0.0000  12 Au 3.27, 4 Pb 3.42
Pb: 0.2500 0.2500 0.7500  12 Au 3.27, 4 Tl 3.42
Au: 0.1251 0.1251 0.3749  6 Au 2.79

---

Entry 17:
Here is a crystal of TlPbAu2 relaxed with PBEsol from Alexandria. Energies are from SCAN.

E_form: -0.0647 eV per atom

Unit cell a=4.4726 b=3.7652 c=10.7761 alpha=90.00 beta=90.00 gamma=90.00
With the nearest neighbours (Å) after each atom.
Space group Amm2 (No. 38)
Unique sites:
Tl: 0.0000 0.0000 0.0000  7 Au 2.92-3.10
Pb: 0.5000 0.0000 0.7073  7 Au 2.92-3.10
Au: 0.0000 0.0000 0.2714  2 Au 2.85, 3 Tl 2.92-3.10, 4 Pb 3.00
Au: 0.5000 0.0000 0.4359  2 Au 2.85, 3 Pb 2.92-3.10, 4 Tl 3.00

---

Entry 18:
Here is a crystal of TlPbAu2 relaxed with PBEsol from Alexandria. Energies are from SCAN.

E_form: 0.0403 eV per atom

Unit cell a=4.8639 b=5.0906 c=7.2235 alpha=90.00 beta=90.00 gamma=90.00
With the nearest neighbours (Å) after each atom.
Space group Cmmm (No. 65)
Unique sites:
Tl: 0.0000 0.0000 0.0000  8 Au 3.02-3.11
Pb: 0.0000 0.0000 0.5000  8 Au 3.04-3.13
Au: 0.0000 0.5000 0.2469  4 Tl 3.02-3.11, 4 Pb 3.04-3.13

---

Entry 19:
Here is a crystal of TlPbAu2 relaxed with PBEsol from Alexandria. Energies are from SCAN.

E_form: 0.0489 eV per atom

Unit cell a=4.9094 b=4.9094 c=7.4148 alpha=90.00 beta=90.00 gamma=90.00
With the nearest neighbours (Å) after each atom.
Space group I4/mmm (No. 139)
Unique sites:
Tl: 0.0000 0.0000 0.0000  8 Au 3.08
Pb: 0.0000 0.0000 0.5000  8 Au 3.08
Au: 0.0000 0.5000 0.2500  4 Tl 3.08, 4 Pb 3.08

---

Entry 20:
Here is a crystal of TlPb2Au relaxed with PBEsol from Alexandria. Energies are from SCAN.

E_form: 0.0852 eV per atom

Unit cell a=7.4057 b=7.4057 c=7.4057 alpha=90.00 beta=90.00 gamma=90.00
With the nearest neighbours (Å) after each atom.
Space group Fm-3m (No. 225)
Unique sites:
Tl: 0.0000 0.0000 0.0000  8 Pb 3.21
Pb: 0.2500 0.2500 0.2500  4 Tl 3.21, 4 Au 3.21
Au: 0.0000 0.0000 0.5000  8 Pb 3.21